(1)
# Li2TbThAu4 (GGA-PBE, relaxed)
# Formation energy ... -5.4 eV/f.u.
# Calculated density ... 11.72 g cm⁻³
# D(E_F) ... 0.52 states/eV/atom
data_Li2TbThAu4
_cell_length_a 4.6078
_cell_length_b 4.6078
_cell_length_c 27.5788
_cell_angle_alpha 90.00
_cell_angle_beta 90.00
_cell_angle_gamma 120.00
_symmetry_space_group_name_H-M 'R -3 m'
_symmetry_Int_Tables_number 166
_symmetry_space_group_name_Hall '-R 3 2"'
loop_
_atom_site_label
_atom_site_fract_x
_atom_site_fract_y
_atom_site_fract_z
_atom_site_occupancy
Li1 0.0000 0.0000 0.2451 1
Tb1 0.0000 0.0000 0.5000 1
Th1 0.0000 0.0000 0.0000 1
Au1 0.0000 0.0000 0.1128 1
Au2 0.0000 0.0000 0.3903 1



(2)
# V2Tc2W (GGA-PBE, relaxed)
# Formation energy ... 3.2 eV/f.u.
# Calculated density ... 10.01 g cm⁻³
# D(E_F) ... 1.43 states/eV/atom
data_V2Tc2W
_cell_length_a 3.876
_cell_length_b 3.876
_cell_length_c 10.635
_cell_angle_alpha 90.00
_cell_angle_beta 90.00
_cell_angle_gamma 90.00
_symmetry_space_group_name_H-M 'I 4/m m m'
_symmetry_Int_Tables_number 139
_symmetry_space_group_name_Hall '-I 4 2'
loop_
_atom_site_label
_atom_site_fract_x
_atom_site_fract_y
_atom_site_fract_z
_atom_site_occupancy
V1 0.000 0.500 0.250 1
Tc1 0.000 0.000 0.112 1
W1 0.000 0.000 0.500 1



What did the second record say?
# V2Tc2W (GGA-PBE, relaxed)
# Formation energy ... 3.2 eV/f.u.
# Calculated density ... 10.01 g cm⁻³
# D(E_F) ... 1.43 states/eV/atom
data_V2Tc2W
_cell_length_a 3.876
_cell_length_b 3.876
_cell_length_c 10.635
_cell_angle_alpha 90.00
_cell_angle_beta 90.00
_cell_angle_gamma 90.00
_symmetry_space_group_name_H-M 'I 4/m m m'
_symmetry_Int_Tables_number 139
_symmetry_space_group_name_Hall '-I 4 2'
loop_
_atom_site_label
_atom_site_fract_x
_atom_site_fract_y
_atom_site_fract_z
_atom_site_occupancy
V1 0.000 0.500 0.250 1
Tc1 0.000 0.000 0.112 1
W1 0.000 0.000 0.500 1